Entry from the Alexandria database: a geometry-optimized PrDy2Cr2C4 structure (PBE-GGA).

Cell lengths 16.2204, 3.4833, 5.3504 Å; angles 90.00, 96.56, 90.00 degrees
Space group C2/m (No. 12)
Asymmetric unit:
Pr1 0.0000 0.0000 0.0000 x2
Dy1 0.1596 0.0000 0.5807 x4
Cr1 0.1909 0.5000 0.0520 x4
C1 0.0978 0.5000 0.8446 x4
C2 0.2280 0.0000 0.1993 x4

Computed properties:
spin magnetization = 0.0 μB per cell
D(E_F) = 9.84 states/eV per cell
calculated formation energy = -0.06 eV/atom


Entry from the Alexandria database: a geometry-optimized NdTcIO4 structure (PBE-GGA).

Cell lengths 11.4339, 7.2639, 7.0389 Å; angles 90.00, 103.13, 90.00 degrees
Space group C2/m (No. 12)
Asymmetric unit:
Nd1 0.2499 0.0000 0.1257 x4
Tc1 0.1291 0.5000 0.2724 x4
I1 0.0111 0.0000 0.7487 x4
O1 0.0289 0.5000 0.7879 x4
O2 0.1916 0.3198 0.1372 x8
O3 0.2013 0.5000 0.5221 x4

Computed properties:
spin magnetization = 5.0 μB per cell
E_tot = -198.462 eV per cell
D(E_F) = 6.54 states/eV per cell


Entry from the Alexandria database: a geometry-optimized KMo2Au structure (PBE-GGA).

Cell lengths 3.2699, 4.7719, 10.2679 Å; angles 90.00, 90.00, 90.00 degrees
Space group Cmm2 (No. 35)
Asymmetric unit:
K1 0.0000 0.0000 0.0000 x2
Mo1 0.0000 0.0000 0.4942 x2
Mo2 0.0000 0.5000 0.3054 x2
Au1 0.0000 0.5000 0.7259 x2

Computed properties:
spin magnetization = 0.0 μB per cell
energy above the most stable polymorph in this dataset = 0.071 eV per formula unit
D(E_F) = 4.23 states/eV per cell
calculated formation energy = 0.53 eV/atom